1.
Below is an optimized crystal structure of Zn3SnBr, with properties calculated at the GGA-PBEsol level.

Output
final energy = -1.97 eV/atom
Fermi-level density of states = 1.37 states/eV/cell

Lattice parameters (Å, degrees): 5.128 5.128 5.128 90.00 90.00 90.00
Sites, in units of the cell vectors:
Zn: 0.000 0.000 0.500
Zn: 0.000 0.500 0.000
Zn: 0.500 0.000 0.000
Sn: 0.000 0.000 0.000
Br: 0.500 0.500 0.500



2.
Below is an optimized crystal structure of ZnSn3Br, with properties calculated at the GGA-PBEsol level.

Output
final energy = -2.95 eV/atom
Fermi-level density of states = 6.71 states/eV/cell

Lattice parameters (Å, degrees): 5.217 5.217 5.217 90.00 90.00 90.00
Sites, in units of the cell vectors:
Zn: 0.000 0.000 0.000
Sn: 0.000 0.000 0.500
Sn: 0.000 0.500 0.000
Sn: 0.500 0.000 0.000
Br: 0.500 0.500 0.500



3.
Below is an optimized crystal structure of ZrSn3Br, with properties calculated at the GGA-PBEsol level.

Output
final energy = -3.96 eV/atom
Fermi-level density of states = 4.22 states/eV/cell

Lattice parameters (Å, degrees): 5.290 5.290 5.290 90.00 90.00 90.00
Sites, in units of the cell vectors:
Zr: 0.000 0.000 0.000
Sn: 0.000 0.500 0.500
Sn: 0.500 0.000 0.500
Sn: 0.500 0.500 0.000
Br: 0.500 0.500 0.500